# 1
Material: MgTa4Te8
Method: DFT, PBE
State: optimized geometry

Lattice parameters (Å, degrees): 7.378 7.378 8.917 90.00 114.44 120.00
Element x y z (fractional)
Te 0.510 0.255 0.765
Ta 0.500 0.000 0.000
Te 0.990 0.745 0.235
Te 0.010 0.755 0.765
Te 0.010 0.255 0.765
Te 0.490 0.745 0.235
Ta 0.000 0.500 0.000
Te 0.509 0.755 0.765
Te 0.491 0.245 0.235
Ta 0.500 0.500 0.000
Mg 0.000 0.500 0.500
Ta 0.000 0.000 0.000
Te 0.990 0.245 0.235

Output
Energy relative to the elements, uncorrected: -4.00 eV per formula unit
DOS at the Fermi energy: 6.93 states/eV/cell
DFT total energy: -0.2209 hartree per atom

=====

# 2
Material: PmAl4PtRh2
Method: DFT, PBE
State: optimized geometry

Lattice parameters (Å, degrees): 4.237 4.237 9.255 76.77 76.77 60.00
Element x y z (fractional)
Al 0.404 0.404 0.788
Rh 0.231 0.231 0.308
Pm 0.000 0.000 0.000
Pt 0.500 0.500 0.500
Al 0.870 0.870 0.391
Al 0.130 0.130 0.609
Al 0.596 0.596 0.212
Rh 0.769 0.769 0.692

Output
DOS at the Fermi energy: 3.56 states/eV/cell
DFT total energy: -0.2178 hartree per atom
Energy of formation: -868 meV per atom

=====

# 3
Material: PuMnAl
Method: DFT, PBE
State: optimized geometry

Lattice parameters (Å, degrees): 5.481 5.481 8.397 90.00 90.00 121.16
Last column: magnetic moment on the atom in μB.
Element x y z (fractional)
Pu 0.672 0.328 0.307  5.19
Mn 0.338 0.175 0.000  -2.83
Al 0.001 0.999 0.245  0.01
Al 0.664 0.827 0.500  -0.02
Mn 0.831 0.169 0.000  -2.81
Mn 0.825 0.662 0.000  -2.83
Mn 0.173 0.827 0.500  -3.03
Pu 0.324 0.676 0.174  5.25
Al 0.173 0.336 0.500  -0.02
Al 0.001 0.999 0.755  0.01
Pu 0.324 0.676 0.826  5.25
Pu 0.672 0.328 0.693  5.19

Output
DOS at the Fermi energy: 24.21 states/eV/cell
DFT total energy: -0.3402 hartree per atom
Energy of formation: -175 meV per atom

=====

# 4
Material: SrMn2InBr
Method: DFT, PBE
State: optimized geometry

Lattice parameters (Å, degrees): 6.046 5.691 6.046 90.00 90.00 90.00
Last column: magnetic moment on the atom in μB.
Element x y z (fractional)
Mn 0.000 0.000 0.500  3.99
Sr 0.000 0.000 0.000  -0.08
Br 0.000 0.500 0.000  0.02
In 0.500 0.500 0.500  -0.07
Mn 0.500 0.000 0.000  4.32

Output
Energy relative to the elements, uncorrected: 4.44 eV per formula unit
DOS at the Fermi energy: 5.80 states/eV/cell
DFT total energy: -0.1470 hartree per atom

=====

# 5
Material: TbScInCu
Method: DFT, PBE
State: optimized geometry

Lattice parameters (Å, degrees): 5.026 5.026 5.026 60.00 60.00 60.00
Element x y z (fractional)
Cu 0.250 0.250 0.250
In 0.750 0.750 0.750
Sc 0.500 0.500 0.500
Tb 0.000 0.000 0.000

Output
DOS at the Fermi energy: 3.50 states/eV/cell
DFT total energy: -0.1745 hartree per atom
Energy of formation: -299 meV per atom

=====

# 6
Material: In7Bi3
Method: DFT, PBE
State: optimized geometry

Lattice parameters (Å, degrees): 4.588 7.137 9.297 94.04 104.28 90.00
Element x y z (fractional)
Bi 0.805 0.425 0.611
In 0.199 0.086 0.399
In 0.399 0.197 0.799
Bi 0.195 0.575 0.389
In 0.000 0.500 0.000
In 0.402 0.710 0.804
In 0.801 0.914 0.601
In 0.598 0.290 0.196
In 0.601 0.803 0.201
Bi 0.000 0.000 0.000

Output
DOS at the Fermi energy: 4.37 states/eV/cell
DFT total energy: -0.1122 hartree per atom
Energy of formation: 28 meV per atom

=====

# 7
Material: HgIrAu2
Method: DFT, PBE
State: optimized geometry

Lattice parameters (Å, degrees): 5.004 5.004 3.010 90.00 90.00 109.40
Element x y z (fractional)
Hg 0.500 0.000 0.500
Ir 0.000 0.500 0.500
Au 0.500 0.500 0.000
Au 0.000 0.000 0.000

Output
DOS at the Fermi energy: 2.61 states/eV/cell
DFT total energy: -0.1318 hartree per atom
Energy of formation: 342 meV per atom

=====

# 8
Material: ZnSiP3
Method: DFT, PBE
State: optimized geometry

Lattice parameters (Å, degrees): 4.605 4.605 4.605 90.00 90.00 90.00
Element x y z (fractional)
P 0.000 0.000 0.500
Zn 0.000 0.000 0.000
Si 0.500 0.500 0.500
P 0.000 0.500 0.000
P 0.500 0.000 0.000

Output
Energy relative to the elements, uncorrected: 5.79 eV per formula unit
DOS at the Fermi energy: 4.32 states/eV/cell
DFT total energy: -0.1259 hartree per atom

=====

# 9
Material: ScZn
Method: DFT, PBE
State: optimized geometry

Lattice parameters (Å, degrees): 5.922 5.922 6.452 73.57 73.57 32.16
Element x y z (fractional)
Sc 0.057 0.057 0.928
Zn 0.681 0.681 0.577
Sc 0.349 0.349 0.787
Zn 0.033 0.033 0.442
Sc 0.358 0.358 0.283
Zn 0.689 0.689 0.149

Output
DOS at the Fermi energy: 5.85 states/eV/cell
DFT total energy: -0.1478 hartree per atom
Energy of formation: -219 meV per atom

=====

# 10
Material: Li2CaEr
Method: DFT, PBE
State: optimized geometry

Lattice parameters (Å, degrees): 3.522 3.522 11.149 80.88 80.88 59.93
Element x y z (fractional)
Ca 0.666 0.666 0.001
Li 0.086 0.086 0.741
Li 0.247 0.247 0.259
Er 0.500 0.500 0.499

Output
DOS at the Fermi energy: 4.24 states/eV/cell
DFT total energy: -0.0886 hartree per atom
Energy of formation: 188 meV per atom

=====

# 11
Material: HfH2I
Method: DFT, PBE
State: optimized geometry

Lattice parameters (Å, degrees): 4.316 4.316 4.316 60.00 60.00 60.00
Element x y z (fractional)
I 0.000 0.000 0.000
Hf 0.500 0.500 0.500
H 0.250 0.250 0.250
H 0.750 0.750 0.750

Output
DOS at the Fermi energy: 3.58 states/eV/cell
DFT total energy: -0.1397 hartree per atom

=====

# 12
Material: LiCa2GeAu6
Method: DFT, PBE
State: optimized geometry

Lattice parameters (Å, degrees): 6.618 6.931 6.605 88.47 49.79 108.02
Element x y z (fractional)
Au 0.180 0.676 0.006
Au 0.735 0.903 0.834
Au 0.681 0.675 0.505
Ge 0.000 0.000 0.000
Au 0.265 0.097 0.166
Ca 0.747 0.234 0.511
Au 0.820 0.324 0.994
Au 0.319 0.325 0.495
Li 0.500 0.500 0.000
Ca 0.253 0.766 0.489

Output
DOS at the Fermi energy: 3.93 states/eV/cell
DFT total energy: -0.1277 hartree per atom
Energy of formation: -455 meV per atom

=====

# 13
Material: CaCo2C2
Method: DFT, PBE
State: optimized geometry

Lattice parameters (Å, degrees): 3.361 3.361 5.656 107.26 107.26 90.00
Element x y z (fractional)
Ca 0.000 0.000 0.000
Co 0.750 0.250 0.500
C 0.657 0.657 0.313
C 0.343 0.343 0.687
Co 0.250 0.750 0.500

Output
DOS at the Fermi energy: 1.08 states/eV/cell
DFT total energy: -0.2567 hartree per atom
Energy of formation: -53 meV per atom

=====

# 14
Material: Sc2As2H
Method: DFT, PBE
State: optimized geometry

Lattice parameters (Å, degrees): 6.587 6.587 3.961 90.00 90.00 90.00
Element x y z (fractional)
Sc 0.321 0.821 0.000
H 0.500 0.500 0.000
Sc 0.821 0.679 0.000
As 0.367 0.133 0.500
As 0.867 0.367 0.500
Sc 0.179 0.321 0.000
As 0.633 0.867 0.500
Sc 0.679 0.179 0.000
H 0.000 0.000 0.000
As 0.133 0.633 0.500

Output
DOS at the Fermi energy: 2.71 states/eV/cell
DFT total energy: -0.2151 hartree per atom

=====

# 15
Material: BeSiOs2
Method: DFT, PBE
State: optimized geometry

Lattice parameters (Å, degrees): 2.947 2.947 5.612 90.00 90.00 90.00
Element x y z (fractional)
Os 0.500 0.500 0.285
Si 0.000 0.000 0.519
Be 0.500 0.500 0.748
Os 0.000 0.000 0.948

Output
Energy relative to the elements, uncorrected: -0.96 eV per formula unit
DOS at the Fermi energy: 1.55 states/eV/cell
DFT total energy: -0.2992 hartree per atom

=====

# 16
Material: ZnAs2
Method: DFT, PBE
State: optimized geometry

Lattice parameters (Å, degrees): 2.986 2.986 7.829 90.00 90.00 120.00
Element x y z (fractional)
As 0.333 0.667 0.271
As 0.667 0.333 0.729
Zn 0.000 0.000 0.000

Output
DOS at the Fermi energy: 1.04 states/eV/cell
DFT total energy: -0.1203 hartree per atom
Energy of formation: 251 meV per atom

=====

# 17
Material: Ba8Ga2Ge
Method: DFT, PBE
State: optimized geometry

Lattice parameters (Å, degrees): 5.693 9.597 10.055 118.51 106.45 90.00
Element x y z (fractional)
Ba 0.343 0.566 0.686
Ba 0.657 0.879 0.314
Ba 0.000 0.325 0.000
Ge 0.500 0.000 0.000
Ga 0.190 0.690 0.380
Ga 0.810 0.310 0.620
Ba 0.657 0.434 0.314
Ba 0.000 0.675 0.000
Ba 0.864 0.864 0.729
Ba 0.343 0.121 0.686
Ba 0.136 0.136 0.271

Output
DOS at the Fermi energy: 10.00 states/eV/cell
DFT total energy: -0.0925 hartree per atom
Energy of formation: -149 meV per atom

=====

# 18
Material: Pm4TlCd3
Method: DFT, PBE
State: optimized geometry

Lattice parameters (Å, degrees): 5.404 5.404 8.682 108.14 108.13 90.00
Last column: magnetic moment on the atom in μB.
Element x y z (fractional)
Cd 0.000 0.500 0.000  0.02
Pm 0.126 0.126 0.253  0.20
Pm 0.374 0.374 0.747  0.20
Tl 0.500 0.000 0.000  0.01
Pm 0.874 0.874 0.747  0.20
Cd 0.249 0.749 0.499  0.02
Cd 0.751 0.251 0.501  0.02
Pm 0.626 0.626 0.253  0.20

Output
DOS at the Fermi energy: 9.40 states/eV/cell
DFT total energy: -0.1231 hartree per atom
Energy of formation: -336 meV per atom

=====

# 19
Material: Sr2B2S5
Method: DFT, PBE
State: optimized geometry

Lattice parameters (Å, degrees): 6.623 5.720 8.091 80.13 115.09 121.40
Element x y z (fractional)
S 0.801 0.248 0.634
Sr 0.299 0.778 0.658
B 0.011 0.156 0.825
B 0.988 0.849 0.205
Sr 0.683 0.213 0.227
S 0.205 0.726 0.251
S 0.321 0.235 0.846
S 0.864 0.014 0.998
S 0.828 0.782 0.355

Output
Energy relative to the elements, uncorrected: -10.67 eV per formula unit
DOS at the Fermi energy: 0.00 states/eV/cell
DFT total energy: -0.1961 hartree per atom

=====

# 20
Material: TlSbRh
Method: DFT, PBE
State: optimized geometry

Lattice parameters (Å, degrees): 3.535 3.535 6.409 90.00 90.00 120.00
Element x y z (fractional)
Sb 0.667 0.333 0.276
Tl 0.333 0.667 0.701
Rh 0.000 0.000 0.023

Output
Energy relative to the elements, uncorrected: -0.30 eV per formula unit
DOS at the Fermi energy: 1.52 states/eV/cell
DFT total energy: -0.1732 hartree per atom

=====

# 21
Material: Be2AlFe
Method: DFT, PBE
State: optimized geometry

Lattice parameters (Å, degrees): 3.869 2.463 4.492 82.26 90.00 90.00
Last column: magnetic moment on the atom in μB.
Element x y z (fractional)
Be 0.000 0.487 0.462  -0.02
Al 0.500 0.750 0.750  -0.01
Fe 0.500 0.250 0.250  1.31
Be 0.000 0.013 0.038  -0.02

Output
DOS at the Fermi energy: 1.94 states/eV/cell
DFT total energy: -0.1813 hartree per atom
Energy of formation: -19 meV per atom

=====

# 22
Material: BeV3Co
Method: DFT, PBE
State: optimized geometry

Lattice parameters (Å, degrees): 4.264 4.264 4.264 90.00 90.00 90.00
Element x y z (fractional)
Be 0.500 0.500 0.500
Co 0.000 0.000 0.000
V 0.500 0.000 0.000
V 0.000 0.000 0.500
V 0.000 0.500 0.000

Output
DOS at the Fermi energy: 6.67 states/eV/cell
DFT total energy: -0.2457 hartree per atom
Energy of formation: 952 meV per atom

=====

# 23
Material: Nd2ErPb2
Method: DFT, PBE
State: optimized geometry

Lattice parameters (Å, degrees): 7.260 8.994 10.155 90.00 90.02 90.00
Element x y z (fractional)
Nd 0.000 0.750 0.909
Nd 0.000 0.251 0.674
Nd 0.500 0.250 0.091
Er 0.248 0.910 0.614
Pb 0.750 0.442 0.885
Pb 0.250 0.075 0.350
Pb 0.250 0.558 0.115
Er 0.748 0.590 0.614
Pb 0.750 0.942 0.115
Er 0.752 0.090 0.386
Nd 0.000 0.250 0.091
Pb 0.250 0.058 0.885
Er 0.252 0.410 0.386
Pb 0.750 0.925 0.650
Nd 0.500 0.249 0.674
Pb 0.750 0.425 0.350
Nd 0.000 0.749 0.326
Nd 0.500 0.750 0.909
Nd 0.500 0.751 0.326
Pb 0.250 0.575 0.650

Output
DOS at the Fermi energy: 13.76 states/eV/cell
DFT total energy: -0.1722 hartree per atom
Energy of formation: -383 meV per atom

=====

# 24
Material: Na2InMoRh
Method: DFT, PBE
State: optimized geometry

Lattice parameters (Å, degrees): 5.377 4.973 5.377 90.00 90.00 90.00
Last column: magnetic moment on the atom in μB.
Element x y z (fractional)
Na 0.500 0.000 0.000  -0.01
Mo 0.500 0.500 0.500  3.75
In 0.000 0.000 0.000  -0.04
Rh 0.000 0.500 0.000  -0.07
Na 0.000 0.000 0.500  0.00

Output
DOS at the Fermi energy: 2.99 states/eV/cell
DFT total energy: -0.1244 hartree per atom
Energy of formation: 1327 meV per atom

=====

# 25
Material: NaHg8Pd4
Method: DFT, PBE
State: optimized geometry

Lattice parameters (Å, degrees): 5.887 7.463 7.463 81.05 66.77 66.77
Element x y z (fractional)
Pd 0.000 0.000 0.500
Na 0.000 0.000 0.000
Hg 0.723 0.777 0.777
Pd 0.000 0.500 0.000
Hg 0.000 0.316 0.684
Hg 0.684 0.316 0.316
Pd 0.500 0.000 0.500
Hg 0.500 0.223 0.777
Hg 0.000 0.684 0.316
Hg 0.277 0.223 0.223
Hg 0.500 0.777 0.223
Hg 0.316 0.684 0.684
Pd 0.500 0.500 0.000

Output
DOS at the Fermi energy: 5.11 states/eV/cell
DFT total energy: -0.0753 hartree per atom
Energy of formation: -165 meV per atom